Density functional theory data (SCAN) for a PBEsol-optimized structure of CsTcB3.

Values from the calculation:
E, eV per atom: -18.04
Symmetry: Pm-3m (221)
Crystal system: cubic
Energy of formation, eV per atom: 0.996
N(E_F), states/eV per cell: 2.31

a b c (Å): 4.331 4.331 4.331
angles (deg): 90.00 90.00 90.00
Atoms (fractional coordinates):
Cs 0.000 0.000 0.000
Tc 0.500 0.500 0.500
B 0.000 0.500 0.500
B 0.500 0.000 0.500
B 0.500 0.500 0.000


Density functional theory data (SCAN) for a PBEsol-optimized structure of MgOs2Se.

Values from the calculation:
E, eV per atom: -41.48
Symmetry: F-43m (216)
Crystal system: cubic
E_form (uncorrected), kJ/mol of atoms: 70
N(E_F), states/eV per cell: 14.33

a b c (Å): 6.265 6.265 6.265
angles (deg): 90.00 90.00 90.00
Atoms (fractional coordinates):
Mg 0.000 0.000 0.000
Mg 0.000 0.500 0.500
Mg 0.500 0.000 0.500
Mg 0.500 0.500 0.000
Os 0.000 0.000 0.500
Os 0.000 0.500 0.000
Os 0.250 0.250 0.250
Os 0.250 0.750 0.750
Os 0.500 0.000 0.000
Os 0.500 0.500 0.500
Os 0.750 0.250 0.750
Os 0.750 0.750 0.250
Se 0.250 0.250 0.750
Se 0.250 0.750 0.250
Se 0.750 0.250 0.250
Se 0.750 0.750 0.750


Density functional theory data (SCAN) for a PBEsol-optimized structure of VOF.

Values from the calculation:
E, eV per atom: -11.93
Symmetry: Fddd (70)
Crystal system: orthorhombic
E_form (uncorrected), kJ/mol of atoms: -274
N(E_F), states/eV per cell: 1.57

a b c (Å): 6.077 5.748 5.084
angles (deg): 67.94 61.23 50.83
Atoms (fractional coordinates):
V 0.074 0.676 0.074
V 0.324 0.926 0.324
V 0.676 0.074 0.676
V 0.926 0.324 0.926
O 0.009 0.009 0.741
O 0.259 0.259 0.991
O 0.741 0.741 0.009
O 0.991 0.991 0.259
F 0.000 0.500 0.500
F 0.500 0.000 0.500
F 0.500 0.500 0.000
F 0.500 0.500 0.500


Density functional theory data (SCAN) for a PBEsol-optimized structure of YBe2Mo.

Values from the calculation:
E, eV per atom: -17.51
Symmetry: Cmmm (65)
Crystal system: orthorhombic
Energy of formation, eV per atom: 0.351
N(E_F), states/eV per cell: 5.36

a b c (Å): 5.956 6.905 2.806
angles (deg): 90.00 90.00 90.00
Atoms (fractional coordinates):
Y 0.000 0.000 0.000
Y 0.500 0.500 0.000
Be 0.250 0.250 0.500
Be 0.250 0.750 0.500
Be 0.750 0.250 0.500
Be 0.750 0.750 0.500
Mo 0.000 0.500 0.000
Mo 0.500 0.000 0.000


Density functional theory data (SCAN) for a PBEsol-optimized structure of BaZn2Rh.

Values from the calculation:
E, eV per atom: -24.88
Symmetry: Fm-3m (225)
Crystal system: cubic
Energy of formation, eV per atom: 0.210
N(E_F), states/eV per cell: 11.38

a b c (Å): 6.910 6.910 6.910
angles (deg): 90.00 90.00 90.00
Atoms (fractional coordinates):
Ba 0.000 0.000 0.000
Ba 0.000 0.500 0.500
Ba 0.500 0.000 0.500
Ba 0.500 0.500 0.000
Zn 0.250 0.250 0.250
Zn 0.250 0.250 0.750
Zn 0.250 0.750 0.250
Zn 0.250 0.750 0.750
Zn 0.750 0.250 0.250
Zn 0.750 0.250 0.750
Zn 0.750 0.750 0.250
Zn 0.750 0.750 0.750
Rh 0.000 0.000 0.500
Rh 0.000 0.500 0.000
Rh 0.500 0.000 0.000
Rh 0.500 0.500 0.500


Density functional theory data (SCAN) for a PBEsol-optimized structure of BaLi2P.

Values from the calculation:
E, eV per atom: -14.42
Symmetry: R3m (160)
Crystal system: trigonal
Energy of formation, eV per atom: -0.742
N(E_F), states/eV per cell: 1.42

a b c (Å): 4.329 4.329 17.152
angles (deg): 90.00 90.00 120.00
Atoms (fractional coordinates):
Ba 0.000 0.000 0.000
Ba 0.333 0.667 0.667
Ba 0.667 0.333 0.333
Li 0.000 0.000 0.184
Li 0.000 0.000 0.480
Li 0.333 0.667 0.146
Li 0.333 0.667 0.851
Li 0.667 0.333 0.517
Li 0.667 0.333 0.813
P 0.000 0.000 0.806
P 0.333 0.667 0.472
P 0.667 0.333 0.139


Density functional theory data (SCAN) for a PBEsol-optimized structure of KMnAlH2.

Values from the calculation:
E, eV per atom: -7.19
Symmetry: P4/mmm (123)
Crystal system: tetragonal
N(E_F), states/eV per cell: 2.22

a b c (Å): 4.057 4.057 6.531
angles (deg): 90.00 90.00 90.00
Atoms (fractional coordinates):
K 0.000 0.000 0.000
Mn 0.500 0.500 0.000
Al 0.000 0.000 0.500
H 0.000 0.500 0.500
H 0.500 0.000 0.500


Density functional theory data (SCAN) for a PBEsol-optimized structure of AsPt2Br.

Values from the calculation:
E, eV per atom: -44.48
Symmetry: Fm-3m (225)
Crystal system: cubic
E_form (uncorrected), kJ/mol of atoms: 51
N(E_F), states/eV per cell: 4.92

a b c (Å): 6.462 6.462 6.462
angles (deg): 90.00 90.00 90.00
Atoms (fractional coordinates):
As 0.000 0.000 0.000
As 0.000 0.500 0.500
As 0.500 0.000 0.500
As 0.500 0.500 0.000
Pt 0.250 0.250 0.250
Pt 0.250 0.250 0.750
Pt 0.250 0.750 0.250
Pt 0.250 0.750 0.750
Pt 0.750 0.250 0.250
Pt 0.750 0.250 0.750
Pt 0.750 0.750 0.250
Pt 0.750 0.750 0.750
Br 0.000 0.000 0.500
Br 0.000 0.500 0.000
Br 0.500 0.000 0.000
Br 0.500 0.500 0.500


Density functional theory data (SCAN) for a PBEsol-optimized structure of LaCd2Pb.

Values from the calculation:
E, eV per atom: -45.00
Symmetry: R-3m (166)
Crystal system: trigonal
Energy of formation, eV per atom: -0.069
N(E_F), states/eV per cell: 9.10

a b c (Å): 3.389 3.389 32.156
angles (deg): 90.00 90.00 120.00
Atoms (fractional coordinates):
La 0.000 0.000 0.000
La 0.333 0.667 0.667
La 0.667 0.333 0.333
Cd 0.000 0.000 0.247
Cd 0.000 0.000 0.753
Cd 0.333 0.667 0.419
Cd 0.333 0.667 0.914
Cd 0.667 0.333 0.086
Cd 0.667 0.333 0.581
Pb 0.000 0.000 0.500
Pb 0.333 0.667 0.167
Pb 0.667 0.333 0.833


Density functional theory data (SCAN) for a PBEsol-optimized structure of LaGeAu.

Values from the calculation:
E, eV per atom: -44.89
Symmetry: P6_3mc (186)
Crystal system: hexagonal
Energy of formation, eV per atom: -1.108
N(E_F), states/eV per cell: 0.75

a b c (Å): 4.472 4.472 7.939
angles (deg): 90.00 90.00 120.00
Atoms (fractional coordinates):
La 0.000 0.000 0.000
La 0.000 0.000 0.500
Ge 0.333 0.667 0.280
Ge 0.667 0.333 0.780
Au 0.333 0.667 0.734
Au 0.667 0.333 0.234


Density functional theory data (SCAN) for a PBEsol-optimized structure of FeCu2Pb.

Values from the calculation:
E, eV per atom: -30.71
Symmetry: Pmmm (47)
Crystal system: orthorhombic
Energy of formation, eV per atom: 0.367
N(E_F), states/eV per cell: 2.74

a b c (Å): 3.126 3.310 5.862
angles (deg): 90.00 90.00 90.00
Atoms (fractional coordinates):
Fe 0.000 0.000 0.000
Cu 0.500 0.500 0.204
Cu 0.500 0.500 0.796
Pb 0.000 0.000 0.500


Density functional theory data (SCAN) for a PBEsol-optimized structure of BaScOs2.

Values from the calculation:
E, eV per atom: -48.87
Symmetry: C2/m (12)
Crystal system: monoclinic
Energy of formation, eV per atom: 0.521
N(E_F), states/eV per cell: 5.64

a b c (Å): 8.710 3.040 6.686
angles (deg): 90.00 94.86 90.00
Atoms (fractional coordinates):
Ba 0.000 0.000 0.000
Ba 0.500 0.500 0.000
Sc 0.000 0.500 0.500
Sc 0.500 0.000 0.500
Os 0.234 0.000 0.658
Os 0.266 0.500 0.342
Os 0.734 0.500 0.658
Os 0.766 0.000 0.342


Density functional theory data (SCAN) for a PBEsol-optimized structure of CaYFe3.

Values from the calculation:
E, eV per atom: -16.91
Symmetry: Pm-3m (221)
Crystal system: cubic
Energy of formation, eV per atom: 1.472
N(E_F), states/eV per cell: 5.32

a b c (Å): 4.576 4.576 4.576
angles (deg): 90.00 90.00 90.00
Atoms (fractional coordinates):
Ca 0.000 0.000 0.000
Y 0.500 0.500 0.500
Fe 0.000 0.000 0.500
Fe 0.000 0.500 0.000
Fe 0.500 0.000 0.000


Density functional theory data (SCAN) for a PBEsol-optimized structure of HfIr2Ru2.

Values from the calculation:
E, eV per atom: -55.09
Symmetry: I4/mmm (139)
Crystal system: tetragonal
Energy of formation, eV per atom: -0.186
N(E_F), states/eV per cell: 9.19

a b c (Å): 3.584 3.584 12.536
angles (deg): 90.00 90.00 90.00
Atoms (fractional coordinates):
Hf 0.000 0.000 0.000
Hf 0.500 0.500 0.500
Ir 0.000 0.000 0.401
Ir 0.000 0.000 0.599
Ir 0.500 0.500 0.099
Ir 0.500 0.500 0.901
Ru 0.000 0.500 0.250
Ru 0.000 0.500 0.750
Ru 0.500 0.000 0.250
Ru 0.500 0.000 0.750